Entry 1:
This record from Alexandria via LeMat-Bulk describes a geometry-optimized Er2Ga4CuRh3 structure. The functional is GGA-PBE.

Lattice parameters (Å, degrees): 3.9363 3.9363 11.4107 90.00 90.00 90.00
Last column: nearest neighbours and their distance in Å.
Sites, in units of the cell vectors:
1 Er 0.5000 0.0000 0.2390  4 Rh 2.98, 4 Ga 3.14
2 Er 0.0000 0.5000 0.7610  4 Rh 2.98, 4 Ga 3.14
3 Ga 0.5000 0.5000 0.0000  4 Rh 2.58, 4 Ga 2.78
4 Ga 0.0000 0.0000 0.0000  4 Rh 2.58, 4 Ga 2.78
5 Ga 0.5000 0.0000 0.6340  2 Cu 2.49, 3 Rh 2.49-2.51
6 Ga 0.0000 0.5000 0.3660  2 Cu 2.49, 3 Rh 2.49-2.51
7 Cu 0.5000 0.5000 0.5000  4 Ga 2.49, 4 Rh 2.78
8 Rh 0.0000 0.0000 0.5000  4 Ga 2.49, 4 Cu 2.78
9 Rh 0.5000 0.0000 0.8540  5 Ga 2.51-2.58
10 Rh 0.0000 0.5000 0.1460  5 Ga 2.51-2.58

Output
Density of states at the Fermi level in states/eV/cell: 4.064
SG: P-4m2, No. 115
E in eV/atom: -5.423

Entry 2:
This record from Alexandria via LeMat-Bulk describes a geometry-optimized ErGa3CuRh structure. The functional is GGA-PBE.

Lattice parameters (Å, degrees): 5.7417 6.0075 6.8469 116.02 90.00 90.00
Last column: nearest neighbours and their distance in Å.
Sites, in units of the cell vectors:
1 Er 0.7500 0.2870 0.5741  1 Cu 2.69, 2 Rh 2.99
2 Er 0.2500 0.7130 0.4259  1 Cu 2.69, 2 Rh 2.99
3 Ga 0.2500 0.1499 0.2998  1 Rh 2.51, 1 Cu 2.69
4 Ga 0.0000 0.2905 0.0000  2 Cu 2.41, 1 Ga 2.52, 2 Rh 2.62
5 Ga 0.5000 0.7095 0.0000  2 Cu 2.41, 1 Ga 2.52, 2 Rh 2.62
6 Ga 0.5000 0.2905 0.0000  2 Cu 2.41, 1 Ga 2.52, 2 Rh 2.62
7 Ga 0.0000 0.7095 0.0000  2 Cu 2.41, 1 Ga 2.52, 2 Rh 2.62
8 Ga 0.7500 0.8501 0.7002  1 Rh 2.51, 1 Cu 2.69
9 Cu 0.2500 0.9312 0.8625  5 Ga 2.41-2.69, 1 Er 2.69
10 Cu 0.7500 0.0688 0.1375  5 Ga 2.41-2.69, 1 Er 2.69
11 Rh 0.2500 0.3536 0.7073  5 Ga 2.51-2.62
12 Rh 0.7500 0.6464 0.2927  5 Ga 2.51-2.62

Output
Density of states at the Fermi level in states/eV/cell: 5.381
SG: Cmcm, No. 63
E in eV/atom: -4.535

Entry 3:
This record from Alexandria via LeMat-Bulk describes a geometry-optimized Er2Ga2CuRh5 structure. The functional is GGA-PBE.

Lattice parameters (Å, degrees): 3.5100 9.7104 9.7104 90.00 90.00 90.00
Last column: nearest neighbours and their distance in Å.
Sites, in units of the cell vectors:
1 Er 0.0000 0.6731 0.1731  3 Ga 2.75-2.95, 2 Rh 2.95
2 Er 0.0000 0.3269 0.8269  3 Ga 2.75-2.95, 2 Rh 2.95
3 Er 0.0000 0.1731 0.3269  3 Ga 2.75-2.95, 2 Rh 2.95
4 Er 0.0000 0.8269 0.6731  3 Ga 2.75-2.95, 2 Rh 2.95
5 Ga 0.0000 0.1270 0.6270  6 Rh 2.47-2.50, 1 Er 2.75
6 Ga 0.0000 0.8730 0.3730  6 Rh 2.47-2.50, 1 Er 2.75
7 Ga 0.0000 0.6270 0.8730  6 Rh 2.47-2.50, 1 Er 2.75
8 Ga 0.0000 0.3730 0.1270  6 Rh 2.47-2.50, 1 Er 2.75
9 Cu 0.0000 0.0000 0.0000  8 Rh 2.69
10 Cu 0.0000 0.5000 0.5000  8 Rh 2.69
11 Rh 0.5000 0.1997 0.0668  2 Ga 2.50, 2 Cu 2.69
12 Rh 0.5000 0.8003 0.9332  2 Ga 2.50, 2 Cu 2.69
13 Rh 0.5000 0.0668 0.8003  2 Ga 2.50, 2 Cu 2.69
14 Rh 0.5000 0.6997 0.4332  2 Ga 2.50, 2 Cu 2.69
15 Rh 0.5000 0.9332 0.1997  2 Ga 2.50, 2 Cu 2.69
16 Rh 0.5000 0.3003 0.5668  2 Ga 2.50, 2 Cu 2.69
17 Rh 0.5000 0.5668 0.6997  2 Ga 2.50, 2 Cu 2.69
18 Rh 0.5000 0.4332 0.3003  2 Ga 2.50, 2 Cu 2.69
19 Rh 0.5000 0.5000 0.0000  4 Ga 2.47
20 Rh 0.5000 0.0000 0.5000  4 Ga 2.47

Output
Density of states at the Fermi level in states/eV/cell: 9.517
SG: P4/mbm, No. 127
E in eV/atom: -6.248